[1]
Compound: CaSiTeAuSe
Source: Alexandria via LeMat-Bulk
Functional: PBE
Structure: relaxed

Values from the calculation:
- Theoretical density: 5.59 g/cm³
- E above lowest polymorph: 12 meV/atom
- DFT total energy: -4.1560 eV per atom
- Total moment: 0.0 μB per formula unit
- E_form (uncorrected): -690 meV per atom

Unit cell a=10.476 b=4.122 c=6.914 alpha=90.00 beta=110.18 gamma=90.00
Fractional coordinates of all 10 atoms:
Ca 0.000 0.000 0.000
Ca 0.500 0.500 0.000
Si 0.281 0.000 0.356
Si 0.781 0.500 0.356
Te 0.006 0.500 0.648
Te 0.506 0.000 0.648
Au 0.173 0.500 0.409
Au 0.673 0.000 0.409
Se 0.309 0.000 0.038
Se 0.809 0.500 0.038

***

[2]
Compound: CaSiTeAuSe
Source: Alexandria via LeMat-Bulk
Functional: PBE
Structure: relaxed

Values from the calculation:
- Theoretical density: 5.68 g/cm³
- E above lowest polymorph: 13 meV/atom
- DFT total energy: -4.1548 eV per atom
- Total moment: 0.0 μB per formula unit
- E_form (uncorrected): -689 meV per atom

Unit cell a=11.711 b=4.162 c=7.017 alpha=90.00 beta=126.22 gamma=90.00
Fractional coordinates of all 10 atoms:
Ca 0.000 0.000 0.000
Ca 0.500 0.500 0.000
Si 0.223 0.000 0.600
Si 0.723 0.500 0.600
Te 0.293 0.000 0.025
Te 0.793 0.500 0.025
Au 0.087 0.500 0.420
Au 0.587 0.000 0.420
Se 0.441 0.000 0.667
Se 0.941 0.500 0.667

***

[3]
Compound: CaSiTeAuSe
Source: Alexandria via LeMat-Bulk
Functional: PBE
Structure: relaxed

Values from the calculation:
- Theoretical density: 5.59 g/cm³
- E above lowest polymorph: 53 meV/atom
- DFT total energy: -4.1152 eV per atom
- Total moment: 0.0 μB per formula unit
- E_form (uncorrected): -650 meV per atom

Unit cell a=4.228 b=5.785 c=6.141 alpha=83.62 beta=69.93 gamma=89.54
Fractional coordinates of all 5 atoms:
Ca 0.000 0.000 0.000
Si 0.362 0.372 0.272
Te 0.276 0.927 0.444
Au 0.813 0.552 0.368
Se 0.560 0.334 0.873

***

[4]
Compound: CaSiTeAuSe
Source: Alexandria via LeMat-Bulk
Functional: PBE
Structure: relaxed

Values from the calculation:
- Theoretical density: 5.79 g/cm³
- E above lowest polymorph: 6 meV/atom
- DFT total energy: -4.1617 eV per atom
- Total moment: 0.0 μB per formula unit
- E_form (uncorrected): -696 meV per atom

Unit cell a=4.187 b=4.357 c=7.934 alpha=75.93 beta=74.90 gamma=89.96
Fractional coordinates of all 5 atoms:
Ca 0.000 0.000 0.000
Si 0.658 0.897 0.678
Te 0.787 0.618 0.416
Au 0.202 0.191 0.588
Se 0.513 0.507 0.973

***

[5]
Compound: CaSiTeAuSe
Source: Alexandria via LeMat-Bulk
Functional: PBE
Structure: relaxed

Values from the calculation:
- Theoretical density: 6.08 g/cm³
- E above lowest polymorph: 65 meV/atom
- DFT total energy: -4.1027 eV per atom
- Total moment: 0.0 μB per formula unit
- E_form (uncorrected): -637 meV per atom

Unit cell a=4.731 b=4.606 c=6.362 alpha=90.00 beta=111.61 gamma=90.00
Fractional coordinates of all 5 atoms:
Ca 0.000 0.000 0.000
Si 0.467 0.500 0.502
Te 0.413 0.500 0.902
Au 0.936 0.500 0.287
Se 0.675 0.000 0.491

***

[6]
Compound: CaSiTeAuSe
Source: Alexandria via LeMat-Bulk
Functional: PBE
Structure: relaxed

Values from the calculation:
- Theoretical density: 5.75 g/cm³
- E above lowest polymorph: 67 meV/atom
- DFT total energy: -4.1010 eV per atom
- Total moment: 0.0 μB per formula unit
- E_form (uncorrected): -635 meV per atom

Unit cell a=15.294 b=4.268 c=4.305 alpha=90.00 beta=104.18 gamma=90.00
Fractional coordinates of all 10 atoms:
Ca 0.000 0.000 0.000
Ca 0.500 0.500 0.000
Si 0.143 0.500 0.913
Si 0.643 0.000 0.913
Te 0.291 0.500 0.604
Te 0.791 0.000 0.604
Au 0.209 0.000 0.819
Au 0.709 0.500 0.819
Se 0.498 0.000 0.485
Se 0.998 0.500 0.485

***

[7]
Compound: CaSiTeAuSe
Source: Alexandria via LeMat-Bulk
Functional: PBE
Structure: relaxed

Values from the calculation:
- Theoretical density: 5.83 g/cm³
- E above lowest polymorph: 98 meV/atom
- DFT total energy: -4.0700 eV per atom
- Total moment: 0.0 μB per formula unit
- E_form (uncorrected): -604 meV per atom

Unit cell a=3.925 b=3.925 c=8.728 alpha=90.08 beta=90.18 gamma=90.01
Fractional coordinates of all 5 atoms:
Ca 0.000 0.000 0.000
Si 0.506 0.504 0.494
Te 0.004 0.002 0.405
Au 0.503 0.502 0.764
Se 0.500 0.500 0.060

***

[8]
Compound: CaTeAuSe
Source: Alexandria via LeMat-Bulk
Functional: PBE
Structure: relaxed

Values from the calculation:
- Theoretical density: 6.41 g/cm³
- E above lowest polymorph: 13 meV/atom
- DFT total energy: -3.8321 eV per atom
- Total moment: 0.0 μB per formula unit
- E_form (uncorrected): -856 meV per atom

Unit cell a=4.167 b=4.076 c=6.812 alpha=90.00 beta=96.68 gamma=90.00
Fractional coordinates of all 4 atoms:
Ca 0.000 0.000 0.000
Te 0.963 0.000 0.488
Au 0.280 0.500 0.681
Se 0.514 0.500 0.045

***

[9]
Compound: CaTeAuSe
Source: Alexandria via LeMat-Bulk
Functional: PBE
Structure: relaxed

Values from the calculation:
- Theoretical density: 6.01 g/cm³
- E above lowest polymorph: 45 meV/atom
- DFT total energy: -3.7999 eV per atom
- Total moment: 0.0 μB per formula unit
- E_form (uncorrected): -824 meV per atom

Unit cell a=4.403 b=4.833 c=6.692 alpha=105.10 beta=99.32 gamma=111.56
Fractional coordinates of all 4 atoms:
Ca 0.000 0.000 0.000
Te 0.467 0.745 0.283
Au 0.107 0.014 0.517
Se 0.589 0.311 0.856

***

[10]
Compound: CaTeAuSe
Source: Alexandria via LeMat-Bulk
Functional: PBE
Structure: relaxed

Values from the calculation:
- Theoretical density: 6.04 g/cm³
- E above lowest polymorph: 61 meV/atom
- DFT total energy: -3.7835 eV per atom
- Total moment: 0.0 μB per formula unit
- E_form (uncorrected): -807 meV per atom

Unit cell a=4.678 b=4.680 c=6.434 alpha=89.74 beta=89.90 gamma=60.02
Fractional coordinates of all 4 atoms:
Ca 0.000 0.000 0.000
Te 0.333 0.335 0.631
Au 0.666 0.668 0.689
Se 0.333 0.333 0.159

***

[11]
Compound: CaTeAuSe
Source: Alexandria via LeMat-Bulk
Functional: PBE
Structure: relaxed

Values from the calculation:
- Theoretical density: 6.14 g/cm³
- E above lowest polymorph: 83 meV/atom
- DFT total energy: -3.7625 eV per atom
- Total moment: 0.0 μB per formula unit
- E_form (uncorrected): -786 meV per atom

Unit cell a=4.487 b=4.487 c=6.877 alpha=90.00 beta=90.00 gamma=120.00
Fractional coordinates of all 4 atoms:
Ca 0.000 0.000 0.000
Te 0.667 0.333 0.681
Au 0.333 0.667 0.546
Se 0.333 0.667 0.172

***

[12]
Compound: CaTeAuSe
Source: Alexandria via LeMat-Bulk
Functional: PBE
Structure: relaxed

Values from the calculation:
- Theoretical density: 6.32 g/cm³
- E above lowest polymorph: 44 meV/atom
- DFT total energy: -3.8009 eV per atom
- Total moment: 0.0 μB per formula unit
- E_form (uncorrected): -825 meV per atom

Unit cell a=4.100 b=4.900 c=6.821 alpha=71.18 beta=89.71 gamma=65.36
Fractional coordinates of all 4 atoms:
Ca 0.000 0.000 0.000
Te 0.629 0.748 0.730
Au 0.979 0.046 0.461
Se 0.352 0.293 0.197

***

[13]
Compound: CaTeAuSe
Source: Alexandria via LeMat-Bulk
Functional: PBE
Structure: relaxed

Values from the calculation:
- Theoretical density: 6.04 g/cm³
- E above lowest polymorph: 27 meV/atom
- DFT total energy: -3.8180 eV per atom
- Total moment: 0.0 μB per formula unit
- E_form (uncorrected): -842 meV per atom

Unit cell a=4.600 b=4.600 c=19.974 alpha=90.00 beta=90.00 gamma=120.00
Fractional coordinates of all 12 atoms:
Ca 0.000 0.000 0.000
Ca 0.333 0.667 0.667
Ca 0.667 0.333 0.333
Te 0.000 0.000 0.539
Te 0.333 0.667 0.205
Te 0.667 0.333 0.872
Au 0.000 0.000 0.243
Au 0.333 0.667 0.910
Au 0.667 0.333 0.577
Se 0.000 0.000 0.386
Se 0.333 0.667 0.053
Se 0.667 0.333 0.720

***

[14]
Compound: CaTeAuSe
Source: Alexandria via LeMat-Bulk
Functional: PBE
Structure: relaxed

Values from the calculation:
- Theoretical density: 5.84 g/cm³
- E above lowest polymorph: 157 meV/atom
- DFT total energy: -3.6883 eV per atom
- Total moment: 0.0 μB per formula unit
- E_form (uncorrected): -712 meV per atom

Unit cell a=4.034 b=4.466 c=7.314 alpha=73.20 beta=89.68 gamma=89.97
Fractional coordinates of all 4 atoms:
Ca 0.000 0.000 0.000
Te 0.501 0.592 0.799
Au 0.499 0.415 0.190
Se 0.497 0.838 0.351

***

[15]
Compound: CaTeAuSe
Source: Alexandria via LeMat-Bulk
Functional: PBE
Structure: relaxed

Values from the calculation:
- Theoretical density: 5.91 g/cm³
- E above lowest polymorph: 67 meV/atom
- DFT total energy: -3.7776 eV per atom
- Total moment: 0.0 μB per formula unit
- E_form (uncorrected): -801 meV per atom

Unit cell a=8.874 b=4.209 c=7.213 alpha=90.00 beta=112.34 gamma=90.00
Fractional coordinates of all 8 atoms:
Ca 0.000 0.000 0.000
Ca 0.500 0.500 0.000
Te 0.287 0.500 0.294
Te 0.787 0.000 0.294
Au 0.253 0.000 0.502
Au 0.753 0.500 0.502
Se 0.264 0.000 0.855
Se 0.764 0.500 0.855

***

[16]
Compound: CaTeAuSe
Source: Alexandria via LeMat-Bulk
Functional: PBE
Structure: relaxed

Values from the calculation:
- Theoretical density: 7.04 g/cm³
- E above lowest polymorph: 0 meV/atom
- DFT total energy: -3.8450 eV per atom
- Total moment: 0.0 μB per formula unit
- E_form (uncorrected): -869 meV per atom

Unit cell a=4.111 b=4.111 c=6.195 alpha=90.00 beta=90.00 gamma=90.00
Fractional coordinates of all 4 atoms:
Ca 0.000 0.000 0.000
Te 0.000 0.000 0.500
Au 0.500 0.500 0.492
Se 0.500 0.500 0.000

***

[17]
Compound: CaW2AuSe
Source: Alexandria via LeMat-Bulk
Functional: PBE
Structure: relaxed

Values from the calculation:
- Theoretical density: 10.09 g/cm³
- DFT total energy: -5.8982 eV per atom
- Total moment: 0.0 μB per formula unit
- E_form (uncorrected): 1036 meV per atom

Unit cell a=4.626 b=4.626 c=5.259 alpha=90.00 beta=90.00 gamma=90.00
Fractional coordinates of all 5 atoms:
Ca 0.000 0.000 0.000
W 0.000 0.500 0.500
W 0.500 0.000 0.500
Au 0.500 0.500 0.000
Se 0.000 0.000 0.500

***

[18]
Compound: Ca3Si4Au7
Source: Alexandria via LeMat-Bulk
Functional: PBE
Structure: relaxed

Values from the calculation:
- Theoretical density: 9.78 g/cm³
- DFT total energy: -4.1125 eV per atom
- Total moment: 0.0 μB per formula unit
- E_form (uncorrected): -496 meV per atom

Unit cell a=8.356 b=8.356 c=9.570 alpha=123.82 beta=123.82 gamma=30.05
Fractional coordinates of all 14 atoms:
Ca 0.000 0.000 0.000
Ca 0.324 0.324 0.330
Ca 0.676 0.676 0.670
Si 0.112 0.112 0.825
Si 0.324 0.324 0.705
Si 0.676 0.676 0.295
Si 0.888 0.888 0.175
Au 0.000 0.000 0.500
Au 0.151 0.151 0.399
Au 0.304 0.304 0.950
Au 0.498 0.498 0.745
Au 0.502 0.502 0.255
Au 0.696 0.696 0.050
Au 0.849 0.849 0.601

***

[19]
Compound: CaSi2Au3
Source: Alexandria via LeMat-Bulk
Functional: PBE
Structure: relaxed

Values from the calculation:
- Theoretical density: 9.66 g/cm³
- DFT total energy: -4.1786 eV per atom
- Total moment: 0.0 μB per formula unit
- E_form (uncorrected): -399 meV per atom

Unit cell a=8.320 b=8.320 c=7.499 alpha=113.72 beta=113.72 gamma=30.04
Fractional coordinates of all 12 atoms:
Ca 0.155 0.155 0.076
Ca 0.845 0.845 0.924
Si 0.183 0.183 0.671
Si 0.489 0.489 0.836
Si 0.511 0.511 0.164
Si 0.817 0.817 0.329
Au 0.038 0.038 0.349
Au 0.319 0.319 0.604
Au 0.377 0.377 0.257
Au 0.623 0.623 0.743
Au 0.681 0.681 0.396
Au 0.962 0.962 0.651

***

[20]
Compound: CaSiAu
Source: Alexandria via LeMat-Bulk
Functional: PBE
Structure: relaxed

Values from the calculation:
- Theoretical density: 7.19 g/cm³
- DFT total energy: -4.2498 eV per atom
- Total moment: 0.0 μB per formula unit
- E_form (uncorrected): -682 meV per atom

Unit cell a=4.474 b=7.108 c=7.698 alpha=90.00 beta=90.00 gamma=90.00
Fractional coordinates of all 12 atoms:
Ca 0.000 0.000 0.000
Ca 0.000 0.500 0.075
Ca 0.500 0.000 0.575
Ca 0.500 0.500 0.500
Si 0.000 0.179 0.369
Si 0.000 0.821 0.369
Si 0.500 0.321 0.869
Si 0.500 0.679 0.869
Au 0.000 0.278 0.700
Au 0.000 0.722 0.700
Au 0.500 0.222 0.200
Au 0.500 0.778 0.200

***

[21]
Compound: CaSi4Au12
Source: Alexandria via LeMat-Bulk
Functional: PBE
Structure: relaxed

Values from the calculation:
- Theoretical density: 12.08 g/cm³
- DFT total energy: -3.7601 eV per atom
- Total moment: 0.0 μB per formula unit
- E_form (uncorrected): -53 meV per atom

Unit cell a=7.658 b=7.658 c=7.658 alpha=109.47 beta=109.47 gamma=109.47
Fractional coordinates of all 17 atoms:
Ca 0.000 0.000 0.000
Si 0.000 0.000 0.500
Si 0.000 0.500 0.000
Si 0.500 0.000 0.000
Si 0.500 0.500 0.500
Au 0.161 0.500 0.339
Au 0.161 0.822 0.661
Au 0.178 0.339 0.839
Au 0.339 0.161 0.500
Au 0.339 0.839 0.178
Au 0.500 0.339 0.161
Au 0.500 0.661 0.839
Au 0.661 0.161 0.822
Au 0.661 0.839 0.500
Au 0.822 0.661 0.161
Au 0.839 0.178 0.339
Au 0.839 0.500 0.661

***

[22]
Compound: Ca2SiAu
Source: Alexandria via LeMat-Bulk
Functional: PBE
Structure: relaxed

Values from the calculation:
- Theoretical density: 5.03 g/cm³
- DFT total energy: -3.7825 eV per atom
- Total moment: 0.0 μB per formula unit
- E_form (uncorrected): -607 meV per atom

Unit cell a=5.772 b=4.438 c=8.308 alpha=90.00 beta=108.66 gamma=90.00
Fractional coordinates of all 8 atoms:
Ca 0.214 0.250 0.423
Ca 0.283 0.750 0.068
Ca 0.717 0.250 0.932
Ca 0.786 0.750 0.577
Si 0.350 0.750 0.714
Si 0.650 0.250 0.286
Au 0.161 0.250 0.779
Au 0.839 0.750 0.221

***

[23]
Compound: Ca2Si3Au5
Source: Alexandria via LeMat-Bulk
Functional: PBE
Structure: relaxed

Values from the calculation:
- Theoretical density: 9.88 g/cm³
- E above lowest polymorph: 0 meV/atom
- DFT total energy: -4.1012 eV per atom
- Total moment: 0.0 μB per formula unit
- E_form (uncorrected): -435 meV per atom

Unit cell a=12.422 b=12.422 c=7.078 alpha=90.00 beta=90.00 gamma=159.30
Fractional coordinates of all 20 atoms:
Ca 0.018 0.982 0.500
Ca 0.325 0.675 0.518
Ca 0.675 0.325 0.018
Ca 0.982 0.018 0.000
Si 0.102 0.898 0.186
Si 0.271 0.729 0.057
Si 0.449 0.551 0.299
Si 0.551 0.449 0.799
Si 0.729 0.271 0.557
Si 0.898 0.102 0.686
Au 0.101 0.899 0.827
Au 0.191 0.809 0.350
Au 0.221 0.779 0.751
Au 0.375 0.625 0.044
Au 0.448 0.552 0.702
Au 0.552 0.448 0.202
Au 0.625 0.375 0.544
Au 0.779 0.221 0.251
Au 0.809 0.191 0.850
Au 0.899 0.101 0.327

***

[24]
Compound: CaSi2Au2
Source: Alexandria via LeMat-Bulk
Functional: PBE
Structure: relaxed

Values from the calculation:
- Theoretical density: 8.34 g/cm³
- DFT total energy: -3.9345 eV per atom
- Total moment: 0.0 μB per formula unit
- E_form (uncorrected): -54 meV per atom

Unit cell a=7.650 b=7.650 c=3.336 alpha=90.00 beta=90.00 gamma=90.00
Fractional coordinates of all 10 atoms:
Ca 0.000 0.000 0.000
Ca 0.500 0.500 0.000
Si 0.173 0.327 0.500
Si 0.327 0.827 0.500
Si 0.673 0.173 0.500
Si 0.827 0.673 0.500
Au 0.132 0.632 0.000
Au 0.368 0.132 0.000
Au 0.632 0.868 0.000
Au 0.868 0.368 0.000

***

[25]
Compound: CaSiAu
Source: Alexandria via LeMat-Bulk
Functional: PBE
Structure: relaxed

Values from the calculation:
- Theoretical density: 6.94 g/cm³
- DFT total energy: -3.8593 eV per atom
- Total moment: 0.0 μB per formula unit
- E_form (uncorrected): -292 meV per atom

Unit cell a=3.454 b=3.454 c=10.637 alpha=90.00 beta=90.00 gamma=90.00
Fractional coordinates of all 6 atoms:
Ca 0.000 0.000 0.000
Ca 0.500 0.500 0.500
Si 0.000 0.000 0.299
Si 0.500 0.500 0.799
Au 0.000 0.000 0.700
Au 0.500 0.500 0.200